1.
An optimized crystal structure of PaSn2F8. Source: Alexandria via LeMat-Bulk, functional PBE-GGA.

D(E_F): 5.90 states/eV/cell
space-group type: Immm
volume: 164.9 Å³/cell
formation energy from raw total energies: -2.884 eV/atom
polymorph energy (0 for the lowest one): 0.62 eV per formula unit
calculated total energy: -5.836 eV/atom

abc: 7.3827 7.3827 7.3827
angles: 148.70 127.19 62.68
Element x y z (fractional)
Pa 0.0000 0.0000 0.0000
Sn 0.3496 0.3496 0.0000
Sn 0.6504 0.6504 0.0000
F 0.1053 0.6053 0.5000
F 0.1389 0.8714 0.2676
F 0.3190 0.5000 0.8190
F 0.3962 0.1286 0.2676
F 0.6038 0.8714 0.7324
F 0.6810 0.5000 0.1810
F 0.8611 0.1286 0.7324
F 0.8947 0.3947 0.5000



2.
An optimized crystal structure of YHfRu. Source: Alexandria via LeMat-Bulk, functional PBE-GGA.

calculated formation energy: -364 meV/atom
D(E_F): 9.66 states/eV/cell
space-group type: P-62m
volume: 195.7 Å³/cell
calculated total energy: -8.929 eV/atom

abc: 7.0587 7.0587 4.5354
angles: 90.00 90.00 120.00
Element x y z (fractional)
Y 0.0000 0.4184 0.0000
Y 0.4184 0.0000 0.0000
Y 0.5816 0.5816 0.0000
Hf 0.0000 0.7474 0.5000
Hf 0.2526 0.2526 0.5000
Hf 0.7474 0.0000 0.5000
Ru 0.0003 0.9997 0.0000
Ru 0.3333 0.6667 0.5000
Ru 0.6667 0.3333 0.5000



3.
An optimized crystal structure of SbW2Au. Source: Alexandria via LeMat-Bulk, functional PBE-GGA.

D(E_F): 2.49 states/eV/cell
space-group type: P4/mmm
volume: 70.0 Å³/cell
formation energy from raw total energies: 0.656 eV/atom
calculated total energy: -7.671 eV/atom

abc: 4.7994 4.7994 3.0395
angles: 90.00 90.00 90.00
Element x y z (fractional)
Sb 0.0000 0.0000 0.0000
W 0.0000 0.5000 0.5000
W 0.5000 0.0000 0.5000
Au 0.5000 0.5000 0.0000